# PBE-GGA Nd3Al3Ir2, relaxed
# Total moment = 0.00 μB/atom
# ΔE_f = -539 kJ/mol of formula units
data_Nd3Al3Ir2
_chemical_formula_sum 'Nd12 Al12 Ir8'
_cell_length_a 7.995
_cell_length_b 15.280
_cell_length_c 5.913
_cell_angle_alpha 90.00
_cell_angle_beta 90.00
_cell_angle_gamma 90.00
_space_group_name_H-M_alt 'P n m a'
_space_group_IT_number 62
_space_group_name_Hall '-P 2ac 2n'
loop_
_atom_site_label
_atom_site_fract_x
_atom_site_fract_y
_atom_site_fract_z
_atom_site_occupancy
Nd1 0.029 0.108 0.103 1
Nd2 0.164 0.250 0.616 1
Al1 0.156 0.036 0.597 1
Al2 0.180 0.750 0.598 1
Ir1 0.137 0.604 0.370 1